--- A ---
The following is a DFT calculation (GGA-PBE) of a geometry-optimized GaAg3W structure.

a b c (Å): 4.661 4.661 4.661
angles (deg): 90.00 90.00 90.00
Space group Pm-3m (No. 221)
Asymmetric unit:
Ga 0.000 0.000 0.000
Ag 0.000 0.000 0.500
W 0.500 0.500 0.500

The calculation puts the density of states at the Fermi level at 0.901 states/eV/atom. The crystal system is cubic.


--- B ---
The following is a DFT calculation (GGA-PBE) of a geometry-optimized GaAg3W structure.

a b c (Å): 5.147 5.147 5.147
angles (deg): 90.00 90.00 90.00
Space group Pm-3m (No. 221)
Asymmetric unit:
Ga 0.000 0.000 0.000
Ag 0.000 0.500 0.500
W 0.500 0.500 0.500

The calculation puts the density of states at the Fermi level at 0.973 states/eV/atom. The crystal system is cubic.


Of all the structures shown, which is most stable? A, and B is the least stable.